Entry 1:
Below is crystalline ZnTcW2 at its relaxed geometry, with properties calculated at the PBE level.

Results
Space-group type: I4/mmm, No. 139
VASP energy (eV per atom): -9.123
DFT formation energy (eV/atom): 0.2638

Lattice parameters (Å, degrees): 4.9162 4.9162 4.9162 133.80 133.80 67.40
Fractional positions:
Zn (0.0000, 0.0000, 0.0000)
Tc (0.5000, 0.5000, 0.0000)
W (0.2500, 0.7500, 0.5000)
W (0.7500, 0.2500, 0.5000)

Entry 2:
Below is crystalline Zn2TcW at its relaxed geometry, with properties calculated at the PBE level.

Results
Polymorph energy (0 for the lowest one) (eV per atom): 0.093
Space-group type: Cm, No. 8
VASP energy (eV per atom): -6.277
DFT formation energy (eV/atom): 0.1901

Lattice parameters (Å, degrees): 4.6961 4.6961 4.8585 96.73 96.73 34.00
Fractional positions:
Zn (0.0000, 0.0000, 0.0000)
Zn (0.2468, 0.2468, 0.7873)
Tc (0.5029, 0.5029, 0.5004)
W (0.7486, 0.7486, 0.2890)

Entry 3:
Below is crystalline Zn2TcW at its relaxed geometry, with properties calculated at the PBE level.

Results
Polymorph energy (0 for the lowest one) (eV per atom): 0.000
Space-group type: P4mm, No. 99
VASP energy (eV per atom): -6.370
DFT formation energy (eV/atom): 0.0967

Lattice parameters (Å, degrees): 3.1903 3.1903 5.9226 90.00 90.00 90.00
Fractional positions:
Zn (0.0000, 0.0000, 0.0000)
Zn (0.5000, 0.5000, 0.2228)
Tc (0.0000, 0.0000, 0.5029)
W (0.5000, 0.5000, 0.7141)

Entry 4:
Below is crystalline Zn2TcW at its relaxed geometry, with properties calculated at the PBE level.

Results
Polymorph energy (0 for the lowest one) (eV per atom): 0.175
Space-group type: Pmmm, No. 47
VASP energy (eV per atom): -6.195
DFT formation energy (eV/atom): 0.2721

Lattice parameters (Å, degrees): 2.6806 4.2361 5.2125 90.00 90.00 90.00
Fractional positions:
Zn (0.0000, 0.0000, 0.2479)
Zn (0.0000, 0.0000, 0.7521)
Tc (0.5000, 0.5000, 0.0000)
W (0.5000, 0.5000, 0.5000)

Entry 5:
Below is crystalline ZnTcW2 at its relaxed geometry, with properties calculated at the PBE level.

Results
Space-group type: P2/m, No. 10
VASP energy (eV per atom): -9.179
DFT formation energy (eV/atom): 0.2075

Lattice parameters (Å, degrees): 2.6958 4.3878 5.3249 90.00 103.24 90.00
Fractional positions:
Zn (0.0000, 0.0000, 0.0000)
Tc (0.5000, 0.0000, 0.5000)
W (0.2573, 0.5000, 0.7486)
W (0.7427, 0.5000, 0.2514)

Entry 6:
Below is crystalline ZnTc2W at its relaxed geometry, with properties calculated at the PBE level.

Results
Space-group type: I-4m2, No. 119
VASP energy (eV per atom): -8.546
DFT formation energy (eV/atom): 0.1934

Lattice parameters (Å, degrees): 4.9285 4.9285 4.9285 134.91 134.91 65.67
Fractional positions:
Zn (0.0000, 0.0000, 0.0000)
Tc (0.2500, 0.7500, 0.5000)
Tc (0.5000, 0.5000, 0.0000)
W (0.7500, 0.2500, 0.5000)

Entry 7:
Below is crystalline ZnTcW2 at its relaxed geometry, with properties calculated at the PBE level.

Results
Space-group type: R3m, No. 160
VASP energy (eV per atom): -9.114
DFT formation energy (eV/atom): 0.2730

Lattice parameters (Å, degrees): 9.2703 9.2703 9.2703 17.40 17.40 17.40
Fractional positions:
Zn (0.0000, 0.0000, 0.0000)
Tc (0.2523, 0.2523, 0.2523)
W (0.5058, 0.5058, 0.5058)
W (0.7512, 0.7512, 0.7512)

Entry 8:
Below is crystalline ZnTc2W at its relaxed geometry, with properties calculated at the PBE level.

Results
Space-group type: P4mm, No. 99
VASP energy (eV per atom): -8.588
DFT formation energy (eV/atom): 0.1516

Lattice parameters (Å, degrees): 2.7745 2.7745 7.7570 90.00 90.00 90.00
Fractional positions:
Zn (0.0000, 0.0000, 0.0000)
Tc (0.0000, 0.0000, 0.4796)
Tc (0.5000, 0.5000, 0.2500)
W (0.5000, 0.5000, 0.7410)

Entry 9:
Below is crystalline ZnTcW3 at its relaxed geometry, with properties calculated at the PBE level.

Results
Polymorph energy (0 for the lowest one) (eV per atom): 0.095
Space-group type: Pm-3m, No. 221
VASP energy (eV per atom): -8.043
DFT formation energy (eV/atom): 2.0572

Lattice parameters (Å, degrees): 4.4894 4.4894 4.4894 90.00 90.00 90.00
Fractional positions:
Zn (0.0000, 0.0000, 0.0000)
Tc (0.5000, 0.5000, 0.5000)
W (0.0000, 0.0000, 0.5000)
W (0.0000, 0.5000, 0.0000)
W (0.5000, 0.0000, 0.0000)

Entry 10:
Below is crystalline ZnTc2W at its relaxed geometry, with properties calculated at the PBE level.

Results
Space-group type: P4mm, No. 99
VASP energy (eV per atom): -8.490
DFT formation energy (eV/atom): 0.2495

Lattice parameters (Å, degrees): 3.2278 3.2278 5.7079 90.00 90.00 90.00
Fractional positions:
Zn (0.0000, 0.0000, 0.0000)
Tc (0.0000, 0.0000, 0.5060)
Tc (0.5000, 0.5000, 0.2183)
W (0.5000, 0.5000, 0.7478)

Entry 11:
Below is crystalline ZnTc2W at its relaxed geometry, with properties calculated at the PBE level.

Results
Space-group type: P4/mmm, No. 123
VASP energy (eV per atom): -8.630
DFT formation energy (eV/atom): 0.1095

Lattice parameters (Å, degrees): 4.3373 4.3373 3.1445 90.00 90.00 90.00
Fractional positions:
Zn (0.0000, 0.0000, 0.0000)
Tc (0.0000, 0.5000, 0.5000)
Tc (0.5000, 0.0000, 0.5000)
W (0.5000, 0.5000, 0.0000)

Entry 12:
Below is crystalline ZnTc2W at its relaxed geometry, with properties calculated at the PBE level.

Results
Space-group type: Pm, No. 6
VASP energy (eV per atom): -8.602
DFT formation energy (eV/atom): 0.1377

Lattice parameters (Å, degrees): 2.7476 4.0698 5.3003 90.00 90.42 90.00
Fractional positions:
Zn (0.0000, 0.0000, 0.0000)
Tc (0.9999, 0.0000, 0.5065)
Tc (0.4997, 0.5000, 0.7506)
W (0.5027, 0.5000, 0.2547)

Entry 13:
Below is crystalline Zn2TcW at its relaxed geometry, with properties calculated at the PBE level.

Results
Polymorph energy (0 for the lowest one) (eV per atom): 0.362
Space-group type: Fm-3m, No. 225
VASP energy (eV per atom): -6.008
DFT formation energy (eV/atom): 0.4591

Lattice parameters (Å, degrees): 4.3359 4.3359 4.3359 60.00 60.00 60.00
Fractional positions:
Zn (0.2500, 0.2500, 0.2500)
Zn (0.7500, 0.7500, 0.7500)
Tc (0.0000, 0.0000, 0.0000)
W (0.5000, 0.5000, 0.5000)

Entry 14:
Below is crystalline Zn2TcW at its relaxed geometry, with properties calculated at the PBE level.

Results
Polymorph energy (0 for the lowest one) (eV per atom): 0.092
Space-group type: C2/m, No. 12
VASP energy (eV per atom): -6.278
DFT formation energy (eV/atom): 0.1886

Lattice parameters (Å, degrees): 5.1137 5.1137 4.2370 113.76 113.76 36.16
Fractional positions:
Zn (0.2465, 0.2465, 0.2463)
Zn (0.7535, 0.7535, 0.7537)
Tc (0.5000, 0.5000, 0.0000)
W (0.0000, 0.0000, 0.5000)

Entry 15:
Below is crystalline ZnTcW2 at its relaxed geometry, with properties calculated at the PBE level.

Results
Space-group type: Pm, No. 6
VASP energy (eV per atom): -9.196
DFT formation energy (eV/atom): 0.1905

Lattice parameters (Å, degrees): 2.6933 4.3994 5.2788 90.00 100.83 90.00
Fractional positions:
Zn (0.0000, 0.0000, 0.0000)
Tc (0.7797, 0.5000, 0.2481)
W (0.3304, 0.5000, 0.7602)
W (0.5652, 0.0000, 0.4926)

For reference, V by record: 60.9; 59.5; 60.3; 59.2; 61.3; 59.2; 62.2; 59.7; 90.5; 59.5; 59.2; 59.3; 57.6; 59.2; 61.4 Å³ per cell.